1 | First-principles (PBE-GGA) data for crystalline ScUIn at its relaxed geometry, as listed in the Open Quantum Materials Database.

Structure (extended XYZ):
```
3
Lattice="-1.6113 -0.9818 4.6670 -4.8171 0.8041 1.2210 -3.0702 -3.9013 0.8342" Properties=species:S:1:pos:R:3 pbc="T T T"
Sc -7.1239 -3.0593 5.0417
U 0.0000 0.0000 0.0000
In -2.3746 -1.0198 1.6806
```

=====

2 | First-principles (PBE-GGA) data for crystalline ScUIn at its relaxed geometry, as listed in the Open Quantum Materials Database.

Structure (extended XYZ):
```
3
Lattice="2.6737 -4.2488 0.1821 -1.6738 -3.9082 2.6757 -1.6668 -4.1189 -2.3433" Properties=species:S:1:pos:R:3 pbc="T T T"
U -0.5001 -9.2069 0.3859
Sc -0.1667 -3.0690 0.1286
In 0.0000 0.0000 0.0000
```

=====

How do the energies compare? Relative to the most stable structure, in eV/atom: 1 0.317; 2 0.000.

=====

1 | First-principles (PBE-GGA) data for crystalline Sc2Zn3In3 at its relaxed geometry, as listed in the Open Quantum Materials Database.

Structure (extended XYZ):
```
8
Lattice="-0.3235 -0.5390 -6.1135 0.7712 -4.7047 0.3740 -5.1622 -0.5816 3.3278" Properties=species:S:1:pos:R:3 pbc="T T T"
In -1.3481 -2.6233 0.3527
In -3.7936 -0.8501 -2.8710
In -0.9253 -0.2727 -1.5224
Zn -1.0692 -0.5338 -4.5105
Zn -3.9368 -2.9268 1.8727
Zn -4.1950 -3.2039 -1.0806
Sc -3.5778 -0.5740 0.1573
Sc -1.5545 -2.9072 -2.7930
```

=====

2 | First-principles (PBE-GGA) data for crystalline Sc2Zn3In3 at its relaxed geometry, as listed in the Open Quantum Materials Database.

Structure (extended XYZ):
```
8
Lattice="6.2537 0.0000 0.0000 -3.1269 5.4159 0.0000 0.0000 0.0000 4.7110" Properties=species:S:1:pos:R:3 pbc="T T T"
In 0.0000 1.7521 0.0000
In 1.6095 4.5398 0.0000
In -1.6095 4.5398 0.0000
Zn 3.1269 3.5139 2.3555
Zn 1.6472 0.9510 2.3555
Zn 4.6065 0.9510 2.3555
Sc 3.1269 1.8053 0.0000
Sc 0.0000 3.6106 2.3555
```

=====

How do the energies compare? Relative to the most stable structure, in eV/atom: 1 0.000; 2 0.014.

=====

1 | First-principles (PBE-GGA) data for crystalline Zr3Sc2In3 at its relaxed geometry, as listed in the Open Quantum Materials Database.

Structure (extended XYZ):
```
8
Lattice="-0.0199 -1.2293 -5.0379 4.3599 -4.5968 1.1044 -1.7905 -5.9991 1.4709" Properties=species:S:1:pos:R:3 pbc="T T T"
Zr 2.6899 -4.6661 -1.5410
Zr 2.1494 -8.8642 2.1545
Zr -0.5650 -5.4082 -1.3470
In 0.0123 -6.4662 1.5778
In 0.4280 -2.4208 -2.0800
In 2.9606 -5.7940 1.4021
Sc 0.8560 -3.5301 0.8580
Sc 1.7064 -7.6928 -0.7985
```

=====

2 | First-principles (PBE-GGA) data for crystalline Zr3Sc2In3 at its relaxed geometry, as listed in the Open Quantum Materials Database.

Structure (extended XYZ):
```
8
Lattice="6.3344 0.0000 0.0000 -3.1672 5.4858 0.0000 0.0000 0.0000 5.2429" Properties=species:S:1:pos:R:3 pbc="T T T"
Zr 4.7372 0.9221 0.0000
Zr 3.1672 3.6415 0.0000
Zr 1.5972 0.9221 0.0000
In 3.1672 0.0267 2.6214
In 1.6068 2.7295 2.6214
In 4.7277 2.7295 2.6214
Sc 0.0000 3.6572 0.0000
Sc 0.0000 0.0000 2.6214
```

=====

How do the energies compare? Relative to the most stable structure, in eV/atom: 1 0.052; 2 0.000.

=====

1 | First-principles (PBE-GGA) data for crystalline TmInSnSe3 at its relaxed geometry, as listed in the Open Quantum Materials Database.

Structure (extended XYZ):
```
12
Lattice="-5.8436 -2.5594 -3.8905 5.4069 -1.3007 4.9908 -7.0487 3.2127 8.4736" Properties=species:S:1:pos:R:3 pbc="T T T"
Se -3.1637 1.7344 12.2370
Se 0.3345 0.1399 8.0316
Se -1.9893 -1.1278 2.6616
Se -7.8199 -0.7873 1.5423
Se -4.3217 -2.3817 -2.6631
Se -5.4961 0.4805 6.9123
Tm -0.2183 -1.9300 0.5501
Tm -3.7427 -0.3237 4.7869
In 1.7923 -0.7047 5.6469
In -9.2778 0.0574 3.9269
Sn -1.5896 0.9176 9.9961
Sn -5.8958 -1.5649 -0.4223
```

=====

2 | First-principles (PBE-GGA) data for crystalline TmInSnSe3 at its relaxed geometry, as listed in the Open Quantum Materials Database.

Structure (extended XYZ):
```
12
Lattice="-8.2866 0.5593 3.1442 -6.8591 -2.8725 4.8547 5.7131 5.3872 6.0410" Properties=species:S:1:pos:R:3 pbc="T T T"
In -2.9043 3.0996 8.6429
In -6.5283 -0.0256 5.3970
Se -4.5664 -0.2372 3.3350
Se -8.9560 0.0639 7.6026
Se 0.0000 0.0000 0.0000
Se -4.7163 1.5370 7.0199
Se -4.8662 3.3112 10.7048
Se -0.4766 3.0101 6.4373
Sn -10.2240 0.8366 10.2113
Sn 0.7914 2.2374 3.8286
Tm -2.1466 0.1200 2.0321
Tm -7.2860 2.9540 12.0078
```

=====

How do the energies compare? Relative to the most stable structure, in eV/atom: 1 0.000; 2 0.040.

=====

1 | First-principles (PBE-GGA) data for crystalline TbZnInSe3 at its relaxed geometry, as listed in the Open Quantum Materials Database.

Structure (extended XYZ):
```
24
Lattice="-5.1634 5.5577 -3.9038 -3.1942 -2.9416 0.0369 -4.9692 5.5778 14.5133" Properties=species:S:1:pos:R:3 pbc="T T T"
Se -7.9883 7.0972 2.0501
Se -7.8838 3.8046 4.1369
Se -7.6292 3.4757 -0.0480
Se -3.8242 2.5421 -0.6200
Se -5.4429 4.3892 6.5094
Se -5.6976 4.7182 10.6944
Se -9.5026 5.6518 11.2663
Se -10.0324 9.4217 10.4216
Se -5.4208 1.1159 2.9944
Se -3.2943 -1.2279 0.2247
Se -5.3384 1.0966 8.5963
Se -7.9059 7.0780 7.6520
Tb -7.3904 6.4848 4.9897
Tb -6.4845 2.2053 -2.2347
Tb -5.9364 1.7091 5.6567
Tb -6.8423 5.9885 12.8810
In -8.1510 4.1521 8.7152
In -11.0937 7.3362 7.8179
In -5.1758 4.0417 1.9311
In -2.2331 0.8576 2.8285
Zn -4.9405 0.5650 0.6606
Zn -8.6158 4.5715 1.9030
Zn -4.7109 3.6223 8.7433
Zn -8.3863 7.6288 9.9857
```

=====

2 | First-principles (PBE-GGA) data for crystalline TbZnInSe3 at its relaxed geometry, as listed in the Open Quantum Materials Database.

Structure (extended XYZ):
```
12
Lattice="-7.2062 -0.3501 -2.3387 -4.9875 -2.1352 -5.2997 -1.1454 -9.6819 4.9786" Properties=species:S:1:pos:R:3 pbc="T T T"
Zn -7.4109 -8.5968 -0.3702
Zn -5.9282 -3.5704 -2.2895
Se -5.0006 -5.1435 -0.6460
Se -1.1086 -2.5881 0.7296
Se -4.5733 -1.5320 -2.5032
Se -8.3385 -7.0236 -2.0137
Se -8.7658 -10.6352 -0.1566
Se -12.2305 -9.5791 -3.3893
Tb 0.0000 0.0000 0.0000
Tb -0.5727 -4.8409 2.4893
In -3.8869 -7.8785 1.8373
In -9.4522 -4.2886 -4.4970
```

=====

How do the energies compare? Relative to the most stable structure, in eV/atom: 1 0.111; 2 0.000.

=====

1 | First-principles (PBE-GGA) data for crystalline TbZnInSe3 at its relaxed geometry, as listed in the Open Quantum Materials Database.

Structure (extended XYZ):
```
24
Lattice="14.7961 0.0000 0.0000 0.0000 4.1152 0.0000 0.0000 0.0000 11.1114" Properties=species:S:1:pos:R:3 pbc="T T T"
Se 12.7015 3.0864 2.7863
Se 5.9244 1.0288 6.4219
Se 8.6075 1.0288 1.2718
Se 5.3035 3.0864 2.7694
Se 1.4737 3.0864 0.8662
Se 8.8717 3.0864 4.6894
Se 13.5866 3.0864 6.8275
Se 2.0946 1.0288 8.3251
Se 9.4926 1.0288 8.3420
Se 13.3224 1.0288 10.2452
Se 1.2095 1.0288 4.2838
Se 6.1886 3.0864 9.8396
Zn 7.6711 1.0288 10.0137
Zn 0.2730 1.0288 6.6534
Zn 7.1250 3.0864 1.0977
Zn 14.5230 3.0864 4.4580
In 3.7862 1.0288 0.4033
In 11.1843 1.0288 5.1524
In 3.6118 3.0864 5.9590
In 11.0099 3.0864 10.7081
Tb 14.4296 1.0288 1.7536
Tb 0.3665 3.0864 9.3577
Tb 7.7645 3.0864 7.3093
Tb 7.0315 1.0288 3.8020
```

=====

2 | First-principles (PBE-GGA) data for crystalline TbZnInSe3 at its relaxed geometry, as listed in the Open Quantum Materials Database.

Structure (extended XYZ):
```
12
Lattice="8.6241 -2.0818 0.0000 8.6241 2.0818 0.0000 -2.3612 0.0000 8.8444" Properties=species:S:1:pos:R:3 pbc="T T T"
Se 8.6241 0.0000 0.0000
Se 9.5368 0.0000 7.0930
Se 10.4720 0.0000 3.2590
Se 4.4150 0.0000 5.5854
Se 5.3502 0.0000 1.7514
Se -1.1806 0.0000 4.4222
In 2.1991 0.0000 0.6128
In 12.6879 0.0000 8.2316
Tb 13.2970 0.0000 3.5839
Tb 1.5900 0.0000 5.2604
Zn 7.1303 0.0000 6.3204
Zn 7.7567 0.0000 2.5240
```

=====

How do the energies compare? Relative to the most stable structure, in eV/atom: 1 0.000; 2 0.121.

=====

1 | First-principles (PBE-GGA) data for crystalline TbZnInSe3 at its relaxed geometry, as listed in the Open Quantum Materials Database.

Structure (extended XYZ):
```
24
Lattice="-1.1444 -4.0945 -0.1548 2.9588 -0.3989 -11.3201 11.5153 -3.3368 3.1274" Properties=species:S:1:pos:R:3 pbc="T T T"
Zn 9.9646 -3.6512 -6.3195
Zn 3.6484 -4.0319 -8.0129
Zn 3.3650 -4.1790 -2.0280
Zn 9.6812 -3.7983 -0.3346
Tb 3.1660 -1.8048 -4.8973
Tb 6.3279 -2.4918 -10.1004
Tb 7.0017 -5.3385 1.7528
Tb 10.1637 -6.0255 -3.4502
Se 3.8391 -3.9922 -10.4712
Se 2.6095 -1.7597 -1.9768
Se 5.3852 -2.3348 -7.2848
Se 10.7202 -6.0706 -6.3707
Se 7.9445 -5.4955 -1.0627
Se 9.4906 -3.8380 2.1237
Se 11.7031 -4.3138 -1.6479
Se 4.3996 -4.3839 -4.2572
Se 1.6266 -3.5165 -6.6996
Se 4.4779 -4.5719 0.1366
Se 8.8518 -3.2583 -8.4841
Se 8.9301 -3.4464 -4.0903
In 6.8291 -4.9915 -6.1467
In 13.6346 -4.6768 -6.3251
In 6.5006 -2.8388 -2.2008
In -0.3049 -3.1535 -2.0224
```

=====

2 | First-principles (PBE-GGA) data for crystalline TbZnInSe3 at its relaxed geometry, as listed in the Open Quantum Materials Database.

Structure (extended XYZ):
```
24
Lattice="10.9517 0.0000 0.0000 0.0000 4.1022 0.0000 0.0000 0.0000 14.6376" Properties=species:S:1:pos:R:3 pbc="T T T"
Se 4.5947 1.0255 1.6990
Se 10.0706 1.0255 5.6199
Se 4.9462 3.0766 9.1280
Se 8.3335 1.0255 9.9677
Se 0.5297 1.0255 1.8092
Se 6.0056 1.0255 5.5096
Se 10.4220 3.0766 12.8284
Se 2.6183 3.0766 4.6699
Se 8.0941 3.0766 2.6489
Se 2.8576 1.0255 11.9887
Se 6.3570 3.0766 12.9387
Se 0.8812 3.0766 9.0177
In 8.5077 1.0255 14.6011
In 3.0318 1.0255 7.3553
In 7.9199 3.0766 7.2823
In 2.4440 3.0766 0.0365
Tb 10.8051 3.0766 3.7451
Tb 0.1467 1.0255 10.8925
Tb 5.6225 1.0255 11.0639
Tb 5.3292 3.0766 3.5737
Zn 2.6089 1.0255 3.1384
Zn 8.3428 3.0766 11.4991
Zn 8.0848 1.0255 4.1804
Zn 2.8670 3.0766 10.4572
```

=====

How do the energies compare? Relative to the most stable structure, in eV/atom: 1 0.049; 2 0.000.

=====

1 | First-principles (PBE-GGA) data for crystalline ZnIn2Te2Se2 at its relaxed geometry, as listed in the Open Quantum Materials Database.

Structure (extended XYZ):
```
7
Lattice="-2.1205 -5.2348 -2.0089 5.5060 -1.4462 -2.0382 -0.2704 0.7141 7.3361" Properties=species:S:1:pos:R:3 pbc="T T T"
Te 3.1251 -1.1195 3.7376
Te 2.7323 -5.9046 -1.6320
In 1.6085 -3.3220 -1.9887
In -0.3178 -3.8411 1.6874
Se 1.3114 -2.1818 0.3902
Se -0.9769 -2.8090 4.0525
Zn -0.1792 0.6874 7.2956
```

=====

2 | First-principles (PBE-GGA) data for crystalline ZnIn2Te2Se2 at its relaxed geometry, as listed in the Open Quantum Materials Database.

Structure (extended XYZ):
```
7
Lattice="4.2163 -6.0452 0.0000 4.2163 6.0452 0.0000 -4.1911 0.0000 4.3451" Properties=species:S:1:pos:R:3 pbc="T T T"
Te -2.3608 -1.6074 4.2498
Te 6.6022 -1.6073 0.0953
In 2.1207 0.0581 2.1725
In 4.2162 -3.1089 0.0000
Se 4.3101 1.5807 2.0517
Se -0.0687 1.5807 2.2934
Zn 2.1207 -5.9637 2.1725
```

=====

How do the energies compare? Relative to the most stable structure, in eV/atom: 1 0.000; 2 0.005.

=====

1 | First-principles (PBE-GGA) data for crystalline TmTlInSe3 at its relaxed geometry, as listed in the Open Quantum Materials Database.

Structure (extended XYZ):
```
24
Lattice="14.7064 0.0000 0.0000 0.0000 4.0441 0.0000 0.0000 0.0000 12.0154" Properties=species:S:1:pos:R:3 pbc="T T T"
Tl 10.7404 1.0110 0.9784
Tl 11.3191 3.0331 6.9862
Tl 3.3872 1.0110 5.0293
Tl 3.9660 3.0331 11.0370
Se 1.5452 3.0331 3.0630
Se 8.9069 1.0110 6.5718
Se 13.1527 3.0331 0.5641
Se 13.1612 1.0110 8.9524
Se 8.8983 3.0331 2.9447
Se 9.3451 3.0331 9.8608
Se 1.5537 1.0110 11.4513
Se 12.7145 1.0110 3.8531
Se 5.8080 1.0110 9.0708
Se 1.9919 3.0331 8.1624
Se 5.7995 3.0331 5.4436
Se 5.3613 1.0110 2.1546
Tm 7.3692 1.0110 4.2371
Tm 14.6904 3.0331 10.2448
Tm 7.3372 3.0331 7.7784
Tm 0.0160 1.0110 1.7706
In 0.4699 1.0110 7.1735
In 7.8230 1.0110 10.8496
In 14.2365 3.0331 4.8419
In 6.8833 3.0331 1.1658
```

=====

2 | First-principles (PBE-GGA) data for crystalline TmTlInSe3 at its relaxed geometry, as listed in the Open Quantum Materials Database.

Structure (extended XYZ):
```
12
Lattice="2.0439 -7.4730 0.0000 2.0439 7.4730 0.0000 0.0000 0.0000 11.2977" Properties=species:S:1:pos:R:3 pbc="T T T"
Se 2.0439 -1.9595 0.0400
Se 2.0439 1.9595 11.2577
Se 2.0439 -7.3548 2.8244
Se 2.0439 -1.9595 5.6089
Se 2.0439 7.3548 8.4733
Se 2.0439 1.9595 5.6888
In 2.0439 1.7776 8.4733
In 2.0439 -1.7776 2.8244
Tm 0.0000 0.0000 5.6488
Tm 0.0000 0.0000 0.0000
Tl 2.0439 3.0845 2.8244
Tl 2.0439 -3.0845 8.4733
```

=====

How do the energies compare? Relative to the most stable structure, in eV/atom: 1 0.000; 2 0.066.